Entry 1:
This record from Alexandria via LeMat-Bulk describes an optimized crystal structure of AlBiH2. The functional is PBE.

Calculated values
Mass density (Mg/m³): 6.53
Raw total energy (eV/atom): -3.29

a b c (Å): 5.519 5.519 5.571
angles (deg): 60.31 60.31 90.00
Fractional coordinates of all 8 atoms:
1 H 0.433 0.125 0.250
2 H 0.317 0.625 0.250
3 H 0.375 0.567 0.750
4 H 0.875 0.683 0.750
5 Bi 0.000 0.000 0.000
6 Bi 0.750 0.250 0.500
7 Al 0.500 0.500 0.000
8 Al 0.250 0.750 0.500



Entry 2:
This record from Alexandria via LeMat-Bulk describes an optimized crystal structure of Si2IrAu. The functional is PBE.

Calculated values
ΔE to the lowest computed polymorph (meV/atom): 441.1
Mass density (Mg/m³): 11.78
Raw formation energy (eV/atom): 0.230
Raw total energy (eV/atom): -5.52

a b c (Å): 2.825 2.825 9.060
angles (deg): 90.00 90.00 119.76
Fractional coordinates of all 4 atoms:
1 Au 0.000 0.000 0.497
2 Ir 0.500 0.500 0.782
3 Si 0.000 0.000 0.992
4 Si 0.500 0.500 0.229



Entry 3:
This record from Alexandria via LeMat-Bulk describes an optimized crystal structure of HfBeCo2. The functional is PBE.

Calculated values
Formation energy from the elements (eV/atom): -0.40
Mass density (Mg/m³): 10.45
Raw total energy (eV/atom): -7.37

a b c (Å): 4.889 4.889 7.580
angles (deg): 71.19 71.19 60.00
Fractional coordinates of all 12 atoms:
1 Hf 0.858 0.858 0.425
2 Hf 0.142 0.142 0.575
3 Hf 0.000 0.000 0.000
4 Be 0.667 0.667 0.999
5 Be 0.333 0.333 0.001
6 Be 0.500 0.500 0.500
7 Co 0.419 0.419 0.241
8 Co 0.920 0.419 0.241
9 Co 0.419 0.920 0.241
10 Co 0.581 0.581 0.759
11 Co 0.581 0.080 0.759
12 Co 0.080 0.581 0.759



Entry 4:
This record from Alexandria via LeMat-Bulk describes an optimized crystal structure of Ac4SmEr2. The functional is PBE.

Calculated values
Formation energy from the elements (eV/atom): 0.20
Mass density (Mg/m³): 8.23
Raw total energy (eV/atom): -4.12

a b c (Å): 7.566 7.566 12.476
angles (deg): 97.45 97.45 124.93
Fractional coordinates of all 14 atoms:
1 Ac 0.746 0.233 0.690
2 Ac 0.233 0.746 0.190
3 Ac 0.292 0.805 0.810
4 Ac 0.805 0.292 0.310
5 Ac 0.232 0.244 0.691
6 Ac 0.792 0.805 0.310
7 Ac 0.805 0.792 0.810
8 Ac 0.244 0.232 0.190
9 Sm 0.393 0.644 0.501
10 Sm 0.644 0.393 0.000
11 Er 0.368 0.118 0.448
12 Er 0.670 0.920 0.053
13 Er 0.920 0.670 0.553
14 Er 0.118 0.368 0.948